(1)
Entry from Alexandria: a geometry-optimized Ta2TeW structure (PBE).

As for the electronic total energy: -9.62 eV per atom.

The space group is Cm (No. 8) and the conventional cell measures 9.599, 3.357 and 4.804 Å, with angles of 90.00, 104.02 and 90.00 degrees. The distinct sites, in fractional coordinates, are Ta at (0.000, 0.000, 0.000), Ta at (0.241, 0.000, 0.728), Te at (0.253, 0.500, 0.234) and W at (0.009, 0.500, 0.530).

---

(2)
Entry from Alexandria: a geometry-optimized Ta2TeW structure (PBE).

As for the electronic total energy: -9.51 eV per atom.

The space group is Cmm2 (No. 35) and the conventional cell measures 3.374, 5.052 and 9.028 Å, with angles of 90.00, 90.00 and 90.00 degrees. The distinct sites, in fractional coordinates, are Ta at (0.000, 0.000, 0.000), Ta at (0.000, 0.500, 0.248), Te at (0.000, 0.000, 0.506) and W at (0.000, 0.500, 0.772).

---

(3)
Entry from Alexandria: a geometry-optimized TaTe2W structure (PBE).

The energy above the most stable polymorph in this dataset is 549.8 meV/atom. As for the electronic total energy: -7.27 eV per atom.

The space group is Fm-3m (No. 225) and the conventional cell measures 6.753, 6.753 and 6.753 Å, with angles of 90.00, 90.00 and 90.00 degrees. The distinct sites, in fractional coordinates, are Ta at (0.000, 0.000, 0.000), Te at (0.250, 0.250, 0.250) and W at (0.000, 0.000, 0.500).

---

(4)
Entry from Alexandria: a geometry-optimized Ta2TeW structure (PBE).

As for the electronic total energy: -9.44 eV per atom.

The space group is F-43m (No. 216) and the conventional cell measures 6.643, 6.643 and 6.643 Å, with angles of 90.00, 90.00 and 90.00 degrees. The distinct sites, in fractional coordinates, are Ta at (0.000, 0.000, 0.000), Ta at (0.250, 0.250, 0.250), Te at (0.250, 0.250, 0.750) and W at (0.000, 0.000, 0.500).

---

(5)
Entry from Alexandria: a geometry-optimized TaTe2W structure (PBE).

The energy above the most stable polymorph in this dataset is 1231.7 meV/atom. As for the electronic total energy: -6.59 eV per atom.

The space group is I-42d (No. 122) and the conventional cell measures 6.244, 6.244 and 12.365 Å, with angles of 90.00, 90.00 and 90.00 degrees. The distinct sites, in fractional coordinates, are Ta at (0.000, 0.000, 0.000), Te at (0.242, 0.250, 0.625) and W at (0.000, 0.000, 0.500).

---

(6)
Entry from Alexandria: a geometry-optimized Ta4TeW structure (PBE).

As for the electronic total energy: -10.06 eV per atom.

The space group is F-43m (No. 216) and the conventional cell measures 7.705, 7.705 and 7.705 Å, with angles of 90.00, 90.00 and 90.00 degrees. The distinct sites, in fractional coordinates, are Ta at (0.125, 0.125, 0.125), Te at (0.250, 0.250, 0.750) and W at (0.000, 0.000, 0.500).

---

(7)
Entry from Alexandria: a geometry-optimized YTa2Te structure (PBE).

As for the electronic total energy: -8.20 eV per atom.

The space group is Cmm2 (No. 35) and the conventional cell measures 3.753, 5.312 and 9.034 Å, with angles of 90.00, 90.00 and 90.00 degrees. The distinct sites, in fractional coordinates, are Y at (0.000, 0.000, 0.000), Ta at (0.000, 0.000, 0.489), Ta at (0.000, 0.500, 0.272) and Te at (0.000, 0.500, 0.730).

---

(8)
Entry from Alexandria: a geometry-optimized YTa2Te structure (PBE).

As for the electronic total energy: -8.18 eV per atom.

The space group is Cm (No. 8) and the conventional cell measures 9.172, 3.463 and 6.045 Å, with angles of 90.00, 100.57 and 90.00 degrees. The distinct sites, in fractional coordinates, are Y at (0.000, 0.000, 0.000), Ta at (0.000, 0.500, 0.524), Ta at (0.236, 0.000, 0.679) and Te at (0.259, 0.500, 0.303).